Entry 1:
Compound: Tm3Ga12Rh
Source: Alexandria via LeMat-Bulk
Functional: PBE
Structure: optimized geometry

abc: 4.2767 4.2767 15.9010
angles: 90.00 90.00 90.00
With the nearest neighbours (Å) after each atom.
Space group P4/mmm (No. 123)
One atom of each set of equivalent atoms:
Tm  0.0000  0.0000  0.0000 [1 per cell]  12 Ga 2.99-3.02
Tm  0.0000  0.0000  0.2655 [2 per cell]  12 Ga 2.98-3.02
Ga  0.0000  0.5000  0.1315 [4 per cell]  4 Tm 2.99-3.02, 8 Ga 2.99-3.02
Ga  0.0000  0.5000  0.3958 [4 per cell]  2 Rh 2.70, 8 Ga 2.70-3.02, 2 Tm 2.98
Ga  0.5000  0.5000  0.0000 [1 per cell]  8 Ga 2.99, 4 Tm 3.02
Ga  0.5000  0.5000  0.2630 [2 per cell]  8 Ga 2.99-3.01, 4 Tm 3.02
Ga  0.5000  0.5000  0.5000 [1 per cell]  8 Ga 2.70, 4 Rh 3.02
Rh  0.0000  0.0000  0.5000 [1 per cell]  12 Ga 2.70-3.02

Values from the calculation:
Energy relative to the elements in meV/atom: -440.3
Spin magnetization in μB/atom: 0.000

---

Entry 2:
Compound: TmGaRh2
Source: Alexandria via LeMat-Bulk
Functional: PBE
Structure: optimized geometry

abc: 4.3429 4.3429 3.4661
angles: 90.00 90.00 90.00
With the nearest neighbours (Å) after each atom.
Space group P4/mmm (No. 123)
One atom of each set of equivalent atoms:
Tm  0.0000  0.0000  0.0000 [1 per cell]  8 Rh 2.78, 4 Ga 3.07
Ga  0.5000  0.5000  0.0000 [1 per cell]  8 Rh 2.78, 4 Tm 3.07
Rh  0.0000  0.5000  0.5000 [2 per cell]  4 Tm 2.78, 4 Ga 2.78, 4 Rh 3.07

Values from the calculation:
Energy relative to the elements in meV/atom: -886.2
Spin magnetization in μB/atom: 0.000

---

Entry 3:
Compound: TmGa9Rh2
Source: Alexandria via LeMat-Bulk
Functional: PBE
Structure: optimized geometry

abc: 6.5969 15.7030 15.9417
angles: 90.00 90.00 90.00
With the nearest neighbours (Å) after each atom.
Space group Fddd (No. 70, origin choice 2)
One atom of each set of equivalent atoms:
Tm  0.1250  0.1250  0.1250 [8 per cell]  10 Ga 3.15-3.30
Ga  0.0800  0.0293  0.3413 [32 per cell]  6 Ga 2.62-2.91, 2 Rh 2.63-2.66
Ga  0.0818  0.3391  0.0278 [32 per cell]  2 Rh 2.62-2.64, 5 Ga 2.62-2.85
Ga  0.1250  0.1250  0.6250 [8 per cell]  8 Ga 2.83-2.85, 4 Rh 2.92
Rh  0.0000  0.0000  0.5000 [16 per cell]  10 Ga 2.62-2.92

Values from the calculation:
Energy relative to the elements in meV/atom: -336.3
Spin magnetization in μB/atom: 0.000

---

Entry 4:
Compound: TmGaRh2
Source: Alexandria via LeMat-Bulk
Functional: PBE
Structure: optimized geometry

abc: 4.5171 4.5272 6.4098
angles: 90.00 90.00 90.00
With the nearest neighbours (Å) after each atom.
Space group Immm (No. 71)
One atom of each set of equivalent atoms:
Tm  0.0000  0.0000  0.0000 [2 per cell]  8 Rh 2.77
Ga  0.0000  0.0000  0.5000 [2 per cell]  8 Rh 2.77
Rh  0.0000  0.5000  0.2496 [4 per cell]  4 Ga 2.77, 4 Tm 2.77

Values from the calculation:
Energy relative to the elements in meV/atom: -889.7
Spin magnetization in μB/atom: 0.000